Density functional theory data (GGA-PBE) for an optimized crystal structure of AcScNi2H6.

The calculation puts the total energy at -4.646 eV/atom.

The structure belongs to space group R-3m (No. 166, hexagonal axes); the cell edges are 4.5936, 4.5936 and 17.0311 Å and the angles 90.00°, 90.00° and 120.00°. The inequivalent atoms are Ac at (0.0000, 0.0000, 0.0000), Sc at (0.0000, 0.0000, 0.5000), Ni at (0.0000, 0.0000, 0.2107) and H at (0.0065, 0.5032, 0.0726).

---

Density functional theory data (GGA-PBE) for an optimized crystal structure of AcSiNi2H.

The calculation puts the total energy at -5.454 eV/atom.

The structure belongs to space group Cmcm (No. 63); the cell edges are 3.937, 11.144 and 6.754 Å and the angles 90.00°, 90.00° and 90.00°. The inequivalent atoms are Ac at (0.000, 0.064, 0.250), Si at (0.000, 0.218, 0.750), Ni at (0.000, 0.323, 0.061) and H at (0.000, 0.500, 0.000).

---

Density functional theory data (GGA-PBE) for an optimized crystal structure of Ac2Si2Ni2H.

The calculation puts the total energy at -5.411 eV/atom.

The structure belongs to space group C2/m (No. 12); the cell edges are 10.923, 4.157 and 7.399 Å and the angles 90.00°, 129.87° and 90.00°. The inequivalent atoms are Ac at (0.059, 0.000, 0.326), Si at (0.162, 0.500, 0.104), Ni at (0.215, 0.500, 0.840) and H at (0.000, 0.500, 0.500).

---

Density functional theory data (GGA-PBE) for an optimized crystal structure of Ac2SiNiH.

The calculation puts the total energy at -5.072 eV/atom.

The structure belongs to space group P2_1/m (No. 11); the cell edges are 6.472, 4.226 and 8.677 Å and the angles 90.00°, 107.63° and 90.00°. The inequivalent atoms are Ac at (0.222, 0.250, 0.410), Ac at (0.244, 0.250, 0.963), Si at (0.346, 0.750, 0.710), Ni at (0.461, 0.750, 0.243) and H at (0.194, 0.750, 0.177).

---

Density functional theory data (GGA-PBE) for an optimized crystal structure of AcSmNi2H8.

The calculation puts the total energy at -4.244 eV/atom.

The structure belongs to space group R-3m (No. 166, hexagonal axes); the cell edges are 4.5390, 4.5390 and 20.9767 Å and the angles 90.00°, 90.00° and 120.00°. The inequivalent atoms are Ac at (0.0000, 0.0000, 0.0000), Sm at (0.0000, 0.0000, 0.5000), Ni at (0.0000, 0.0000, 0.2483), H at (0.0000, 0.0000, 0.3245) and H at (0.0354, 0.5177, 0.5543).

---

Density functional theory data (GGA-PBE) for an optimized crystal structure of AcSmNi2H6.

The calculation puts the total energy at -4.420 eV/atom.

The structure belongs to space group R-3m (No. 166, hexagonal axes); the cell edges are 4.7538, 4.7538 and 18.2103 Å and the angles 90.00°, 90.00° and 120.00°. The inequivalent atoms are Ac at (0.0000, 0.0000, 0.0000), Sm at (0.0000, 0.0000, 0.5000), Ni at (0.0000, 0.0000, 0.2238) and H at (0.0020, 0.5010, 0.0658).

---

Density functional theory data (GGA-PBE) for an optimized crystal structure of AcNi2SnH.

The calculation puts the total energy at -5.014 eV/atom.

The structure belongs to space group Cmcm (No. 63); the cell edges are 4.349, 11.611 and 6.786 Å and the angles 90.00°, 90.00° and 90.00°. The inequivalent atoms are Ac at (0.000, 0.074, 0.250), Ni at (0.000, 0.357, 0.061), Sn at (0.000, 0.212, 0.750) and H at (0.000, 0.500, 0.000).

---

Density functional theory data (GGA-PBE) for an optimized crystal structure of AcNi2SnH6.

The calculation puts the total energy at -4.251 eV/atom.

The structure belongs to space group C2/c (No. 15); the cell edges are 8.330, 11.883 and 4.468 Å and the angles 90.00°, 98.98° and 90.00°. The inequivalent atoms are Ac at (0.000, 0.170, 0.250), Ni at (0.239, 0.430, 0.213), Sn at (0.000, 0.407, 0.750), H at (0.144, 0.172, 0.799), H at (0.157, 0.002, 0.008) and H at (0.164, 0.345, 0.415).

---

Density functional theory data (GGA-PBE) for an optimized crystal structure of AcTbNi2H8.

The calculation puts the total energy at -4.229 eV/atom.

The structure belongs to space group R-3m (No. 166, hexagonal axes); the cell edges are 4.4929, 4.4929 and 20.9556 Å and the angles 90.00°, 90.00° and 120.00°. The inequivalent atoms are Ac at (0.0000, 0.0000, 0.0000), Tb at (0.0000, 0.0000, 0.5000), Ni at (0.0000, 0.0000, 0.2470), H at (0.0000, 0.0000, 0.3232) and H at (0.0374, 0.5187, 0.5527).

---

Density functional theory data (GGA-PBE) for an optimized crystal structure of AcZnNi4H6.

The calculation puts the total energy at -4.319 eV/atom.

The structure belongs to space group P6/mmm (No. 191); the cell edges are 4.4270, 4.4270 and 6.9002 Å and the angles 90.00°, 90.00° and 120.00°. The inequivalent atoms are Ac at (0.0000, 0.0000, 0.0000), Zn at (0.0000, 0.0000, 0.5000), Ni at (0.3333, 0.6667, 0.3290) and H at (0.0000, 0.5000, 0.1871).

---

Density functional theory data (GGA-PBE) for an optimized crystal structure of Ac2ZnNiH6.

The calculation puts the total energy at -3.817 eV/atom.

The structure belongs to space group C2/m (No. 12); the cell edges are 7.548, 7.548 and 5.641 Å and the angles 90.00°, 131.93° and 90.00°. The inequivalent atoms are Ac at (0.000, 0.250, 0.000), Zn at (0.000, 0.000, 0.500), Ni at (0.000, 0.500, 0.500), H at (0.000, 0.279, 0.500), H at (0.198, 0.500, 0.895) and H at (0.221, 0.500, 0.499).